Record 1
## Ac2DyAs3Rh4 (PBE-GGA)

Data for a geometry-optimized Ac2DyAs3Rh4 structure.

Output
The density comes out at 10.0 g/cm³. The value obtained for the total energy is -6.565 eV/atom. The value obtained for the formation energy is -0.947 eV/atom.

Cell lengths 4.2555, 4.2555, 11.4720 Å; angles 90.00, 90.00, 90.00 degrees
Last column: nearest neighbours and their distance in Å.
Positions (direct):
As  0.0000  0.0000  0.5000  4 Rh 2.79, 4 Dy 3.01
As  0.0000  0.5000  0.1240  5 Rh 2.51-2.56
As  0.5000  0.0000  0.8760  5 Rh 2.51-2.56
Ac  0.0000  0.5000  0.7682  4 As 3.25, 8 Rh 3.27-3.41
Ac  0.5000  0.0000  0.2318  4 As 3.25, 8 Rh 3.27-3.41
Dy  0.5000  0.5000  0.5000  4 Rh 2.79, 4 As 3.01
Rh  0.0000  0.0000  0.0000  4 As 2.56
Rh  0.0000  0.5000  0.3429  3 As 2.51-2.79, 2 Dy 2.79
Rh  0.5000  0.0000  0.6571  3 As 2.51-2.79, 2 Dy 2.79
Rh  0.5000  0.5000  0.0000  4 As 2.56

Record 2
## Th2TaSi4Pt3 (PBE-GGA)

Data for a geometry-optimized Th2TaSi4Pt3 structure.

Output
The density comes out at 12.0 g/cm³. The value obtained for the total energy is -7.611 eV/atom.

Cell lengths 4.2642, 4.2642, 10.2006 Å; angles 90.00, 90.00, 90.00 degrees
Last column: nearest neighbours and their distance in Å.
Positions (direct):
Th  0.0000  0.5000  0.7577  8 Si 3.23-3.26, 6 Pt 3.28-3.38, 2 Ta 3.38
Th  0.5000  0.0000  0.2423  8 Si 3.23-3.26, 6 Pt 3.28-3.38, 2 Ta 3.38
Si  0.5000  0.5000  0.0000  4 Pt 2.44
Si  0.0000  0.5000  0.3569  3 Pt 2.46-2.58, 2 Ta 2.58
Si  0.0000  0.0000  0.0000  4 Pt 2.44
Si  0.5000  0.0000  0.6431  3 Pt 2.46-2.58, 2 Ta 2.58
Pt  0.5000  0.0000  0.8842  5 Si 2.44-2.46
Pt  0.0000  0.0000  0.5000  4 Si 2.58
Pt  0.0000  0.5000  0.1158  5 Si 2.44-2.46
Ta  0.5000  0.5000  0.5000  4 Si 2.58

Record 3
## Sc4In2F (PBE-GGA)

Data for a geometry-optimized Sc4In2F structure.

Output
The density comes out at 4.7 g/cm³. The value obtained for the total energy is -5.537 eV/atom.

Cell lengths 4.3130, 4.3130, 8.7537 Å; angles 75.74, 75.74, 90.00 degrees
Last column: nearest neighbours and their distance in Å.
Positions (direct):
In  0.3648  0.3648  0.2705  9 Sc 3.00-3.14
In  0.6352  0.6352  0.7295  9 Sc 3.00-3.14
F  0.0000  0.0000  0.0000  4 Sc 2.16
Sc  0.0000  0.5000  0.0000  2 F 2.16
Sc  0.1819  0.1819  0.6363  1 F 2.98, 5 In 3.00-3.14
Sc  0.8181  0.8181  0.3637  1 F 2.98, 5 In 3.00-3.14
Sc  0.5000  0.0000  0.0000  2 F 2.16